Record 1
Material: LiCeH6Pd
Method: DFT, PBE-GGA
State: relaxed

```
9
Lattice="-4.340 1.103 -0.442 -2.812 -0.494 3.477 0.922 4.160 1.336" Properties=species:S:1:pos:R:3 pbc="T T T"
H -1.228 0.677 2.014
H -3.344 1.215 1.799
H -0.711 3.011 2.764
H -1.456 3.790 0.852
H -1.973 1.456 0.102
H -2.827 3.549 2.548
Pd -1.923 2.283 1.680
Li -4.307 2.486 2.692
Ce -3.418 5.263 0.894
```

Record 2
Material: LiCeH6Pt2
Method: DFT, PBE-GGA
State: relaxed

```
10
Lattice="4.530 0.000 0.000 2.265 3.923 0.000 2.265 1.308 5.245" Properties=species:S:1:pos:R:3 pbc="T T T"
H 5.580 3.222 4.191
H 5.580 2.009 1.054
H 4.530 3.828 1.054
H 4.530 1.402 4.191
H 3.479 3.222 4.191
H 3.479 2.009 1.054
Pt 2.265 1.308 1.952
Pt 6.794 3.923 3.293
Li 4.530 2.615 2.623
Ce 0.000 0.000 0.000
```

Record 3
Material: LiCeH8Rh2
Method: DFT, PBE-GGA
State: relaxed

```
12
Lattice="-0.687 2.754 -3.845 -4.370 0.420 -1.888 -2.675 5.331 1.327" Properties=species:S:1:pos:R:3 pbc="T T T"
H -5.635 5.669 -3.843
H -3.182 6.446 -1.544
H -2.097 2.836 -0.564
H -5.429 5.948 -1.572
H -2.303 2.558 -2.835
H -4.068 5.037 0.046
H -3.664 3.469 -4.453
H -4.550 2.059 -2.863
Li 0.000 0.000 0.000
Rh -1.786 1.491 -1.583
Rh -5.946 7.014 -2.824
Ce -3.866 4.253 -2.203
```

no.,DFT total energy (eV for the cell shown),N(E_F) (states/eV per atom)
1,-35.74,0.658
2,-44.42,0.490
3,-53.10,0.522